A relaxed K2BaLa crystal, computed with PBE-GGA.

POSCAR file:
```
K2BaLa
1.0
-0.0486 -3.5576 1.5686
3.4617 2.5336 5.8535
-6.9716 1.6066 3.4276
K Ba La
2 1 1
Direct
0.0000 0.0000 0.0105
0.0000 0.0000 0.4895
0.5000 0.5000 0.7500
0.5000 0.5000 0.2500
```

Calculated values
Calculated formation energy ... 0.3634 eV/atom
Symmetry ... Pmmm, No. 47
Distance to the lowest polymorph of the same formula ... 157 meV per atom